! CoBMo (PBEsol, optimized geometry); values from VASP
&SYSTEM
  ibrav = 0, nat = 12, ntyp = 3
/
ATOMIC_SPECIES
Mo 95.94 Mo.upf
Co 58.93 Co.upf
B 10.81 B.upf
ATOMIC_POSITIONS crystal
Mo 0.250 0.528 0.326
Co 0.750 0.857 0.442
Co 0.250 0.643 0.942
B 0.250 0.772 0.625
Mo 0.750 0.972 0.826
B 0.750 0.728 0.125
Co 0.250 0.143 0.558
Mo 0.750 0.472 0.674
B 0.250 0.272 0.875
B 0.750 0.228 0.375
Co 0.750 0.357 0.058
Mo 0.250 0.028 0.174
CELL_PARAMETERS angstrom
3.212 0.000 0.000
0.000 5.680 0.000
0.000 0.000 6.536
! DFT formation energy, eV per atom: -0.523
! Space group: No. 62